(1)
VASP calculation (PBE+U) on a relaxed Na2VNiF6 crystal.

Summary:
Energy, eV/atom: -4.89

The structure in POSCAR format:
```
Na2VNiF6
1.0
4.120 0.000 0.000
0.000 5.768 0.000
0.000 0.000 5.768
Na F V Ni
2 6 1 1
direct
0.032 0.500 0.000
0.032 0.000 0.500
0.687 0.244 0.756
0.687 0.756 0.756
0.687 0.756 0.244
0.165 0.000 0.000
0.687 0.244 0.244
0.156 0.500 0.500
0.654 0.500 0.500
0.658 0.000 0.000
```

(2)
VASP calculation (PBE+U) on a relaxed LiNiP3O9 crystal.

Summary:
DOS at the Fermi energy, states/eV/f.u.: 0.00
Energy relative to the lowest polymorph listed for this composition, eV per atom: 0.055

The structure in POSCAR format:
```
LiNiP3O9
1.0
6.421 0.000 0.000
0.000 9.638 0.000
3.211 0.000 5.561
O P Li Ni
18 6 2 2
direct
0.596 0.385 0.363
0.363 0.115 0.040
0.972 0.250 0.239
0.972 0.750 0.789
0.041 0.115 0.596
0.596 0.615 0.040
0.789 0.250 0.972
0.789 0.750 0.239
0.363 0.385 0.041
0.041 0.615 0.363
0.239 0.750 0.972
0.040 0.385 0.596
0.596 0.115 0.363
0.363 0.885 0.596
0.363 0.615 0.596
0.041 0.885 0.363
0.596 0.885 0.041
0.239 0.250 0.789
0.033 0.750 0.249
0.249 0.750 0.718
0.249 0.250 0.033
0.718 0.250 0.249
0.718 0.750 0.033
0.033 0.250 0.718
0.667 0.500 0.667
0.666 0.000 0.667
0.333 0.500 0.333
0.333 0.000 0.333
```